Entry from Alexandria via LeMat-Bulk: AcIrRhO6 after structural relaxation (PBE-GGA).

Unit cell a=5.6869 b=5.6869 c=8.1138 alpha=90.00 beta=90.00 gamma=120.00
Last column: nearest neighbours and their distance in Å.
Sites, in units of the cell vectors:
1 Ac 0.3333 0.6667 0.2500  6 O 2.46
2 Ac 0.6667 0.3333 0.7500  6 O 2.46
3 Ir 0.6667 0.3333 0.2500  6 O 1.99
4 Ir 0.3333 0.6667 0.7500  6 O 1.99
5 Rh 0.0000 0.0000 0.0000  6 O 2.11
6 Rh 0.0000 0.0000 0.5000  6 O 2.11
7 O 0.7013 0.6365 0.1105  1 Ir 1.99, 1 Rh 2.11
8 O 0.9352 0.2987 0.1105  1 Ir 1.99, 1 Rh 2.11
9 O 0.2987 0.9352 0.6105  1 Ir 1.99, 1 Rh 2.11
10 O 0.0648 0.7013 0.8895  1 Ir 1.99, 1 Rh 2.11
11 O 0.3634 0.2987 0.3895  1 Ir 1.99, 1 Rh 2.11
12 O 0.9352 0.6365 0.3895  1 Ir 1.99, 1 Rh 2.11
13 O 0.6365 0.9352 0.8895  1 Ir 1.99, 1 Rh 2.11
14 O 0.7013 0.0648 0.3895  1 Ir 1.99, 1 Rh 2.11
15 O 0.0648 0.3635 0.6105  1 Ir 1.99, 1 Rh 2.11
16 O 0.3634 0.0648 0.1105  1 Ir 1.99, 1 Rh 2.11
17 O 0.6365 0.7013 0.6105  1 Ir 1.99, 1 Rh 2.11
18 O 0.2987 0.3635 0.8895  1 Ir 1.99, 1 Rh 2.11

Computed properties:
space group	No. 163
ΔE_f (raw)	-1.212	eV/atom